This record from Alexandria describes SrYHg3 after structural relaxation. The functional is GGA-PBE.

Lattice parameters (Å, degrees): 5.741 5.741 5.741 90.00 90.00 90.00
Positions (direct):
Sr 0.000 0.000 0.000
Hg 0.000 0.500 0.000
Hg 0.000 0.000 0.500
Hg 0.500 0.000 0.000
Y 0.500 0.500 0.500

Computed properties:
The energy is -1.39 eV/atom. The calculation puts the total magnetic moment at 0.14 μB per atom. As for the symmetry: Pm-3m, No. 221. As for the energy of formation from the pure elements: 0.422 eV/atom.

This record from Alexandria describes SrYHg2 after structural relaxation. The functional is GGA-PBE.

Lattice parameters (Å, degrees): 9.185 9.185 9.185 25.65 25.65 25.65
Positions (direct):
Hg 0.493 0.493 0.493
Hg 0.007 0.007 0.007
Y 0.750 0.750 0.750
Sr 0.250 0.250 0.250

Computed properties:
The energy is -2.55 eV/atom. The calculation puts the total magnetic moment at 0.00 μB per atom. As for the symmetry: R-3m, No. 166. As for the energy of formation from the pure elements: -0.360 eV/atom.

This record from Alexandria describes SrY2Hg after structural relaxation. The functional is GGA-PBE.

Lattice parameters (Å, degrees): 3.796 3.796 11.244 80.28 80.28 60.00
Positions (direct):
Hg 0.666 0.666 0.001
Y 0.068 0.068 0.796
Y 0.265 0.265 0.204
Sr 0.500 0.500 0.499

Computed properties:
The energy is -3.80 eV/atom. The calculation puts the total magnetic moment at 0.08 μB per atom. As for the symmetry: R3m, No. 160. As for the energy of formation from the pure elements: -0.072 eV/atom.

This record from Alexandria describes SrY4Hg after structural relaxation. The functional is GGA-PBE.

Lattice parameters (Å, degrees): 6.611 6.611 6.611 60.00 60.00 60.00
Positions (direct):
Y 0.873 0.376 0.376
Y 0.376 0.873 0.376
Y 0.376 0.376 0.873
Y 0.376 0.376 0.376
Hg 0.750 0.750 0.750
Sr 0.000 0.000 0.000

Computed properties:
The energy is -4.36 eV/atom. The calculation puts the total magnetic moment at 0.00 μB per atom. As for the symmetry: F-43m, No. 216. As for the energy of formation from the pure elements: 0.278 eV/atom.

This record from Alexandria describes SrYHg after structural relaxation. The functional is GGA-PBE.

Lattice parameters (Å, degrees): 5.277 5.277 4.243 90.00 90.00 120.00
Positions (direct):
Hg 0.000 0.000 0.834
Sr 0.667 0.333 0.333
Y 0.333 0.667 0.833

Computed properties:
The energy is -2.98 eV/atom. The calculation puts the total magnetic moment at 0.00 μB per atom. As for the symmetry: P-6m2, No. 187. As for the energy of formation from the pure elements: -0.160 eV/atom.

This record from Alexandria describes SrY2Hg after structural relaxation. The functional is GGA-PBE.

Lattice parameters (Å, degrees): 4.970 4.970 4.997 90.00 90.00 90.00
Positions (direct):
Hg 0.500 0.000 0.500
Sr 0.000 0.500 0.500
Y 0.000 0.000 0.000
Y 0.500 0.500 0.000

Computed properties:
The energy is -3.75 eV/atom. The calculation puts the total magnetic moment at 0.00 μB per atom. As for the symmetry: P4/mmm, No. 123. As for the energy of formation from the pure elements: -0.025 eV/atom.

This record from Alexandria describes SrYHg2 after structural relaxation. The functional is GGA-PBE.

Lattice parameters (Å, degrees): 6.570 6.570 6.570 146.66 131.56 60.08
Positions (direct):
Y 0.221 0.721 0.500
Hg 0.774 0.274 0.500
Hg 0.994 0.994 0.000
Sr 0.511 0.511 0.000

Computed properties:
The energy is -2.52 eV/atom. The calculation puts the total magnetic moment at 0.00 μB per atom. As for the symmetry: Imm2, No. 44. As for the energy of formation from the pure elements: -0.328 eV/atom.

This record from Alexandria describes Sr2YHg after structural relaxation. The functional is GGA-PBE.

Lattice parameters (Å, degrees): 11.459 11.459 11.459 20.14 20.14 20.14
Positions (direct):
Sr 0.011 0.011 0.011
Sr 0.489 0.489 0.489
Y 0.250 0.250 0.250
Hg 0.750 0.750 0.750

Computed properties:
The energy is -2.57 eV/atom. The calculation puts the total magnetic moment at 0.09 μB per atom. As for the symmetry: R-3m, No. 166. As for the energy of formation from the pure elements: -0.035 eV/atom.